1.
This record from Alexandria via LeMat-Bulk describes a geometry-optimized P2PtBr structure. The functional is PBE.

Summary:
Its space group is Fm-3m. For the formation energy from raw total energies, the calculation gives 0.7398 eV per atom. The total energy is -15.57 eV/cell.

abc: 4.555 4.555 4.555
angles: 60.00 60.00 60.00
Element x y z (fractional)
P (0.250, 0.250, 0.250)
P (0.750, 0.750, 0.750)
Pt (0.000, 0.000, 0.000)
Br (0.500, 0.500, 0.500)



2.
This record from Alexandria via LeMat-Bulk describes a geometry-optimized PPt2Br structure. The functional is PBE.

Summary:
Its space group is Pm. For the formation energy from raw total energies, the calculation gives -0.1236 eV per atom. The total energy is -19.66 eV/cell.

abc: 4.006 3.876 6.304
angles: 90.00 102.03 90.00
Element x y z (fractional)
P (0.000, 0.000, 0.000)
Pt (0.283, 0.500, 0.097)
Pt (0.455, 0.000, 0.821)
Br (0.373, 0.500, 0.519)



Among the records above, which one has the highest formation energy from raw total energies? P2PtBr